Si2PdPt: relaxed, PBE.

Summary:
Total magnetic moment (Bohr magnetons per cell): 0.0
DOS at the Fermi energy (states/eV per cell): 3.3
ΔE_f (raw) (eV per formula unit): -1.5
Symmetry: I-42d (122)
Energy relative to the lowest polymorph listed for this composition (meV per atom): 0

```
8
Lattice="-2.009 2.009 7.935 2.009 -2.009 7.935 2.009 2.009 -7.935" Properties=species:S:1:pos:R:3 pbc="T T T"
Si 3.013 0.999 -1.984
Si 0.999 1.004 1.984
Si -1.004 1.009 5.952
Si 1.009 1.004 9.919
Pd 2.009 0.000 3.968
Pd 0.000 0.000 7.935
Pt 0.000 0.000 0.000
Pt 0.000 2.009 3.968
```